# 1
Computed, not measured: a geometry-optimized Pu2In5Hg structure at the GGA-PBE level of DFT.

Unit cell a=4.705 b=6.553 c=13.114 alpha=90.00 beta=90.00 gamma=90.00
Last column: magnetic moment on the atom in μB.
Sites, in units of the cell vectors:
Pu1 0.500 0.254 0.626  -5.38
Pu2 0.500 0.746 0.374  -5.38
Pu3 0.500 0.246 0.126  -5.38
Pu4 0.500 0.754 0.874  -5.38
In1 0.000 0.000 0.000  -0.02
In2 0.000 0.500 0.500  -0.02
In3 0.000 0.502 0.751  -0.02
In4 0.000 0.498 0.249  -0.02
In5 0.000 0.998 0.251  -0.02
In6 0.000 0.002 0.749  -0.02
In7 0.500 0.254 0.876  -0.03
In8 0.500 0.746 0.124  -0.03
In9 0.500 0.246 0.376  -0.03
In10 0.500 0.754 0.624  -0.03
Hg1 0.000 0.000 0.500  -0.03
Hg2 0.000 0.500 0.000  -0.03

# 2
Computed, not measured: a geometry-optimized Pu3In2Hg structure at the GGA-PBE level of DFT.

Unit cell a=3.191 b=3.191 c=14.765 alpha=90.00 beta=90.00 gamma=90.00
Last column: magnetic moment on the atom in μB.
Sites, in units of the cell vectors:
Pu1 0.000 0.000 0.000  5.56
Pu2 0.000 0.000 0.664  -5.56
Pu3 0.000 0.000 0.336  -5.56
In1 0.500 0.500 0.832  -0.01
In2 0.500 0.500 0.168  -0.01
Hg1 0.500 0.500 0.500  0.01

# 3
Computed, not measured: a geometry-optimized Pu2InHg4 structure at the GGA-PBE level of DFT.

Unit cell a=5.488 b=5.488 c=8.726 alpha=108.33 beta=108.33 gamma=90.00
Last column: magnetic moment on the atom in μB.
Sites, in units of the cell vectors:
Pu1 0.610 0.610 0.220  5.75
Pu2 0.390 0.390 0.780  5.75
In1 0.000 0.000 0.000  0.01
Hg1 0.809 0.809 0.619  0.03
Hg2 0.191 0.191 0.381  0.03
Hg3 0.000 0.500 0.000  0.07
Hg4 0.500 0.000 0.000  0.07

# 4
Computed, not measured: a geometry-optimized PuIn2Hg6 structure at the GGA-PBE level of DFT.

Unit cell a=5.069 b=6.541 c=7.932 alpha=82.74 beta=71.37 gamma=67.20
Last column: magnetic moment on the atom in μB.
Sites, in units of the cell vectors:
Pu1 0.000 0.500 0.500  5.51
In1 0.309 0.878 0.503  0.00
In2 0.691 0.122 0.497  0.00
Hg1 0.665 0.815 0.855  0.00
Hg2 0.335 0.185 0.145  0.00
Hg3 0.021 0.814 0.144  0.00
Hg4 0.643 0.503 0.211  0.00
Hg5 0.979 0.186 0.856  0.00
Hg6 0.357 0.497 0.789  0.00

E above lowest polymorph in eV/atom: 0.000

# 5
Computed, not measured: a geometry-optimized PuIn15Hg4 structure at the GGA-PBE level of DFT.

Unit cell a=4.651 b=4.651 c=24.197 alpha=89.99 beta=89.98 gamma=90.00
Last column: magnetic moment on the atom in μB.
Sites, in units of the cell vectors:
Pu1 0.000 0.000 0.000  5.47
In1 0.500 0.500 0.000  0.02
In2 0.501 0.500 0.198  0.01
In3 0.501 0.501 0.400  0.01
In4 0.499 0.499 0.600  0.01
In5 0.499 0.500 0.802  0.01
In6 0.500 0.000 0.097  0.01
In7 0.501 0.001 0.298  0.00
In8 0.500 0.000 0.500  0.01
In9 0.499 0.999 0.702  0.00
In10 0.500 0.000 0.903  0.01
In11 0.000 0.500 0.097  0.01
In12 0.001 0.501 0.298  0.00
In13 0.000 0.500 0.500  0.01
In14 0.999 0.499 0.702  0.00
In15 0.000 0.500 0.903  0.01
Hg1 0.001 0.000 0.195  0.01
Hg2 0.001 0.001 0.400  0.01
Hg3 0.999 0.999 0.600  0.01
Hg4 0.999 0.000 0.805  0.01

# 6
Computed, not measured: a geometry-optimized PuIn2Hg7 structure at the GGA-PBE level of DFT.

Unit cell a=5.136 b=5.136 c=12.046 alpha=90.00 beta=90.00 gamma=120.00
Last column: magnetic moment on the atom in μB.
Sites, in units of the cell vectors:
Pu1 0.000 0.000 0.048  5.49
In1 0.667 0.333 0.194  -0.01
In2 0.333 0.667 0.659  0.00
Hg1 0.333 0.667 0.417  0.00
Hg2 0.333 0.667 0.162  0.00
Hg3 0.000 0.000 0.326  -0.01
Hg4 0.000 0.000 0.767  0.00
Hg5 0.667 0.333 0.580  0.00
Hg6 0.667 0.333 0.923  0.01
Hg7 0.333 0.667 0.908  0.00

# 7
Computed, not measured: a geometry-optimized PuIn2Hg2 structure at the GGA-PBE level of DFT.

Unit cell a=5.063 b=5.063 c=6.710 alpha=67.83 beta=67.83 gamma=60.00
Last column: magnetic moment on the atom in μB.
Sites, in units of the cell vectors:
Pu1 0.000 0.000 0.000  5.56
In1 0.582 0.582 0.252  0.03
In2 0.418 0.418 0.748  0.03
Hg1 0.234 0.234 0.297  0.00
Hg2 0.766 0.766 0.703  0.00

# 8
Computed, not measured: a geometry-optimized Pu2In2Hg5 structure at the GGA-PBE level of DFT.

Unit cell a=8.533 b=5.914 c=10.592 alpha=106.21 beta=113.75 gamma=90.00
Last column: magnetic moment on the atom in μB.
Sites, in units of the cell vectors:
Pu1 0.186 0.458 0.134  5.58
Pu2 0.814 0.325 0.866  5.58
Pu3 0.448 0.958 0.134  5.58
Pu4 0.552 0.825 0.866  5.58
In1 0.000 0.889 0.000  -0.03
In2 0.500 0.389 0.000  -0.03
In3 0.340 0.628 0.500  0.01
In4 0.660 0.128 0.500  0.01
Hg1 0.166 0.560 0.824  0.00
Hg2 0.834 0.735 0.176  0.00
Hg3 0.158 0.060 0.824  0.00
Hg4 0.842 0.235 0.176  0.00
Hg5 0.243 0.056 0.330  0.00
Hg6 0.757 0.725 0.670  0.00
Hg7 0.587 0.556 0.330  0.00
Hg8 0.413 0.225 0.670  0.00
Hg9 0.023 0.959 0.500  0.00
Hg10 0.977 0.459 0.500  0.00

Ordered ΔE_f results: -1.516 -0.981 1.862 -0.549 -0.386 -0.146 0.012 -0.331; unit eV/f.u..